1.
This record from Alexandria via LeMat-Bulk describes an optimized crystal structure of LaSm2Zn2Ag2. The functional is PBE-GGA.

abc: 4.706 4.706 9.562
angles: 75.75 75.75 60.00
Atoms (fractional coordinates):
La 0.000 0.000 0.000
Sm 0.126 0.126 0.622
Sm 0.874 0.874 0.378
Zn 0.743 0.743 0.771
Zn 0.257 0.257 0.229
Ag 0.596 0.596 0.212
Ag 0.404 0.404 0.788

Values from the calculation:
As for the space-group type: No. 166. The calculation puts the formation energy at -0.236 eV per atom. The density of states at the Fermi level comes out at 6.40 states/eV/cell.

---

2.
This record from Alexandria via LeMat-Bulk describes an optimized crystal structure of LaSmZnAg. The functional is PBE-GGA.

abc: 3.750 3.750 7.401
angles: 90.00 90.00 90.00
Atoms (fractional coordinates):
La 0.000 0.000 0.848
Sm 0.000 0.000 0.364
Zn 0.500 0.500 0.592
Ag 0.500 0.500 0.124

Values from the calculation:
As for the space-group type: No. 99. The calculation puts the formation energy at -0.295 eV per atom. The density of states at the Fermi level comes out at 4.01 states/eV/cell.

---

3.
This record from Alexandria via LeMat-Bulk describes an optimized crystal structure of La2SmZn2Ag2. The functional is PBE-GGA.

abc: 4.714 4.714 9.608
angles: 75.80 75.80 60.00
Atoms (fractional coordinates):
La 0.123 0.123 0.630
La 0.877 0.877 0.370
Sm 0.000 0.000 0.000
Zn 0.732 0.732 0.803
Zn 0.268 0.268 0.197
Ag 0.607 0.607 0.179
Ag 0.393 0.393 0.821

Values from the calculation:
As for the space-group type: No. 166. The calculation puts the formation energy at -0.242 eV per atom. The density of states at the Fermi level comes out at 6.77 states/eV/cell.

---

4.
This record from Alexandria via LeMat-Bulk describes an optimized crystal structure of LaSmZnAg. The functional is PBE-GGA.

abc: 5.297 5.297 5.297
angles: 60.00 60.00 60.00
Atoms (fractional coordinates):
Zn 0.750 0.750 0.750
Ag 0.250 0.250 0.250
Sm 0.000 0.000 0.000
La 0.500 0.500 0.500

Values from the calculation:
As for the space-group type: No. 216. The calculation puts the formation energy at -0.277 eV per atom. The density of states at the Fermi level comes out at 3.71 states/eV/cell.